The following is a PBE calculation of a relaxed Mg3BeCd crystal, from Alexandria.

Properties
Calculated volume in Å³/cell: 141.5
Energy in eV per atom: -1.099
Crystal system: cubic
Magnetic moment in μB/cell: 0.00
Formation energy from the elements in meV per atom: 786
Polymorph energy (0 for the lowest one) in meV/atom: 542.7

Lattice parameters (Å, degrees): 5.2107 5.2107 5.2107 90.00 90.00 90.00
Atoms (fractional coordinates):
Be 0.5000 0.5000 0.5000
Mg 0.0000 0.5000 0.0000
Mg 0.0000 0.0000 0.5000
Mg 0.5000 0.0000 0.0000
Cd 0.0000 0.0000 0.0000

The following is a PBE calculation of a relaxed MgBeCd2 crystal, from Alexandria.

Properties
Calculated volume in Å³/cell: 73.7
Energy in eV per atom: -1.590
Crystal system: tetragonal
Magnetic moment in μB/cell: 0.00
Formation energy from the elements in meV per atom: 197
Polymorph energy (0 for the lowest one) in meV/atom: 0.0

Lattice parameters (Å, degrees): 3.0553 3.0553 7.8975 90.00 90.00 90.00
Atoms (fractional coordinates):
Be 0.5000 0.5000 0.7542
Mg 0.0000 0.0000 0.5439
Cd 0.0000 0.0000 0.9485
Cd 0.5000 0.5000 0.2534

The following is a PBE calculation of a relaxed MgBeCd3 crystal, from Alexandria.

Properties
Calculated volume in Å³/cell: 107.1
Energy in eV per atom: -1.365
Crystal system: cubic
Magnetic moment in μB/cell: 0.00
Formation energy from the elements in meV per atom: 248
Polymorph energy (0 for the lowest one) in meV/atom: 0.0

Lattice parameters (Å, degrees): 4.7491 4.7491 4.7491 90.00 90.00 90.00
Atoms (fractional coordinates):
Be 0.0000 0.0000 0.0000
Mg 0.5000 0.5000 0.5000
Cd 0.0000 0.5000 0.0000
Cd 0.0000 0.0000 0.5000
Cd 0.5000 0.0000 0.0000

The following is a PBE calculation of a relaxed MgBeCd2 crystal, from Alexandria.

Properties
Calculated volume in Å³/cell: 73.4
Energy in eV per atom: -1.532
Crystal system: tetragonal
Magnetic moment in μB/cell: 0.00
Formation energy from the elements in meV per atom: 256
Polymorph energy (0 for the lowest one) in meV/atom: 58.6

Lattice parameters (Å, degrees): 4.2853 4.2826 3.9988 90.00 90.00 90.00
Atoms (fractional coordinates):
Be 0.0000 0.5000 0.5000
Mg 0.5000 0.0000 0.5000
Cd 0.0000 0.0000 0.0000
Cd 0.5000 0.5000 0.0000

The following is a PBE calculation of a relaxed Mg2BeCd2 crystal, from Alexandria.

Properties
Calculated volume in Å³/cell: 201.2
Energy in eV per atom: -1.545
Crystal system: tetragonal
Magnetic moment in μB/cell: 0.00
Formation energy from the elements in meV per atom: 204
Polymorph energy (0 for the lowest one) in meV/atom: 0.0

Lattice parameters (Å, degrees): 6.6449 6.6449 4.5577 90.00 90.00 90.00
Atoms (fractional coordinates):
Be 0.0000 0.0000 0.0000
Be 0.5000 0.5000 0.0000
Mg 0.1643 0.6643 0.5000
Mg 0.6643 0.8357 0.5000
Mg 0.8357 0.3357 0.5000
Mg 0.3357 0.1643 0.5000
Cd 0.3447 0.8447 0.0000
Cd 0.8447 0.6553 0.0000
Cd 0.6553 0.1553 0.0000
Cd 0.1553 0.3447 0.0000

The following is a PBE calculation of a relaxed MgBeCd2 crystal, from Alexandria.

Properties
Calculated volume in Å³/cell: 75.9
Energy in eV per atom: -1.526
Crystal system: trigonal
Magnetic moment in μB/cell: 0.00
Formation energy from the elements in meV per atom: 262
Polymorph energy (0 for the lowest one) in meV/atom: 64.4

Lattice parameters (Å, degrees): 9.1374 9.1374 9.1374 19.71 19.71 19.71
Atoms (fractional coordinates):
Be 0.7500 0.7500 0.7500
Mg 0.2500 0.2500 0.2500
Cd 0.0121 0.0121 0.0121
Cd 0.4879 0.4879 0.4879

The following is a PBE calculation of a relaxed MgBeCd2 crystal, from Alexandria.

Properties
Calculated volume in Å³/cell: 73.0
Energy in eV per atom: -1.530
Crystal system: tetragonal
Magnetic moment in μB/cell: 0.00
Formation energy from the elements in meV per atom: 258
Polymorph energy (0 for the lowest one) in meV/atom: 60.3

Lattice parameters (Å, degrees): 4.9701 4.9701 4.9701 128.59 128.59 75.67
Atoms (fractional coordinates):
Be 0.7500 0.2500 0.5000
Mg 0.2500 0.7500 0.5000
Cd 0.0000 0.0000 0.0000
Cd 0.5000 0.5000 0.0000

The following is a PBE calculation of a relaxed MgBeCd2 crystal, from Alexandria.

Properties
Calculated volume in Å³/cell: 74.4
Energy in eV per atom: -1.532
Crystal system: monoclinic
Magnetic moment in μB/cell: 0.00
Formation energy from the elements in meV per atom: 256
Polymorph energy (0 for the lowest one) in meV/atom: 58.5

Lattice parameters (Å, degrees): 5.5175 5.5175 5.2429 62.20 62.20 32.22
Atoms (fractional coordinates):
Be 0.2562 0.2562 0.3444
Mg 0.5310 0.5310 0.4138
Cd 0.9646 0.9646 0.9755
Cd 0.7482 0.7482 0.7663